Material: NdEuSc2
Method: DFT, GGA-PBE
State: optimized geometry

Values from the calculation:
total magnetization = 6.86 μB per cell
calculated formation energy = 0.63 eV/f.u.
excess energy over the best structure of this formula in the dataset = 0.61 kcal/mol of atoms
E_tot = -6.77 eV/atom

abc: 5.5887 5.5887 3.8522
angles: 90.00 90.00 90.00
Last column: nearest neighbours and their distance in Å.
Space group P4/mmm (No. 123)
Inequivalent atoms, fractional coordinates:
Nd1 0.0000 0.0000 0.0000 x1  8 Sc 3.39
Eu1 0.5000 0.5000 0.0000 x1  8 Sc 3.39
Sc1 0.0000 0.5000 0.5000 x2  4 Nd 3.39, 4 Eu 3.39

Material: SbTe2ICl
Method: DFT, GGA-PBE
State: optimized geometry

Values from the calculation:
total magnetization = 0.50 μB per cell
formation energy without anion corrections = 0.89 eV per atom
excess energy over the best structure of this formula in the dataset = 10.79 kcal/mol of atoms
E_tot = -1.87 eV/atom

abc: 5.7883 5.7883 6.0353
angles: 90.00 90.00 90.00
Last column: nearest neighbours and their distance in Å.
Space group P4/mmm (No. 123)
Inequivalent atoms, fractional coordinates:
Sb1 0.0000 0.0000 0.0000 x1  2 I 3.02
Te1 0.0000 0.5000 0.5000 x2  2 I 2.89
I1 0.0000 0.0000 0.5000 x1  4 Te 2.89, 2 Sb 3.02
Cl1 0.5000 0.5000 0.0000 x1  4 Sb 4.09, 8 Te 4.18

Material: Sr2GaIrCl
Method: DFT, GGA-PBE
State: optimized geometry

Values from the calculation:
total magnetization = 0.00 μB per cell
formation energy without anion corrections = 0.00 eV per atom
E_tot = -3.41 eV/atom

abc: 5.4605 5.4605 4.9197
angles: 90.00 90.00 90.00
Last column: nearest neighbours and their distance in Å.
Space group P4/mmm (No. 123)
Inequivalent atoms, fractional coordinates:
Sr1 0.0000 0.5000 0.0000 x2  2 Cl 2.73
Ga1 0.0000 0.0000 0.5000 x1  2 Cl 2.46
Ir1 0.5000 0.5000 0.5000 x1  8 Sr 3.67, 4 Ga 3.86
Cl1 0.0000 0.0000 0.0000 x1  2 Ga 2.46, 4 Sr 2.73

Material: CePm4Dy10
Method: DFT, GGA-PBE
State: optimized geometry

Values from the calculation:
total magnetization = 0.00 μB per cell
calculated formation energy = 3.84 eV/f.u.
E_tot = -4.47 eV/atom

abc: 11.2069 11.2069 7.9921
angles: 90.00 90.00 90.00
Last column: nearest neighbours and their distance in Å.
Space group I4/mmm (No. 139)
Inequivalent atoms, fractional coordinates:
Ce1 0.0000 0.0000 0.0000 x2  8 Dy 3.30, 4 Pm 3.59
Pm1 0.2263 0.2263 0.0000 x8  8 Dy 3.46-3.56, 1 Ce 3.59
Dy1 0.0000 0.2067 0.2937 x16  4 Dy 3.28-3.31, 1 Ce 3.30, 4 Pm 3.46-3.56
Dy2 0.0000 0.5000 0.2500 x4  4 Dy 3.31

Material: Sm3Y8Sc2
Method: DFT, GGA-PBE
State: optimized geometry

Values from the calculation:
total magnetization = 0.01 μB per cell
calculated formation energy = 3.19 eV/f.u.
excess energy over the best structure of this formula in the dataset = 0.20 kcal/mol of atoms
E_tot = -5.80 eV/atom

abc: 19.5769 7.7370 5.6234
angles: 90.00 90.03 90.00
Last column: nearest neighbours and their distance in Å.
Space group C2/m (No. 12)
Inequivalent atoms, fractional coordinates:
Sm1 0.0000 0.0000 0.0000 x2  4 Y 3.15
Sm2 0.0000 0.2914 0.5000 x4  3 Sm 3.23-3.60, 6 Y 3.48-3.58
Y1 0.1129 0.2910 0.0003 x8  1 Sm 3.15, 3 Y 3.23-3.49, 2 Sc 3.29-3.36
Y2 0.1353 0.0000 0.4998 x4  4 Sm 3.48-3.86, 2 Sc 3.48-3.49, 5 Y 3.63-3.64
Y3 0.1790 0.5000 0.5009 x4  2 Sc 3.22, 4 Y 3.49
Sc1 0.2405 0.0000 0.9990 x4  8 Y 3.22-3.49

Material: Be2CdAs
Method: DFT, GGA-PBE
State: optimized geometry

Values from the calculation:
total magnetization = 0.00 μB per cell
calculated formation energy = 1.62 eV/f.u.
excess energy over the best structure of this formula in the dataset = 4.73 kcal/mol of atoms
E_tot = -2.85 eV/atom

abc: 5.8299 5.8299 9.4483
angles: 90.00 90.00 90.00
Last column: nearest neighbours and their distance in Å.
Space group I-42d (No. 122)
Inequivalent atoms, fractional coordinates:
Be1 0.1845 0.2500 0.1250 x8  2 As 2.16
Cd1 0.0000 0.0000 0.5000 x4  4 Be 2.63
As1 0.0000 0.0000 0.0000 x4  4 Be 2.16